[1]
Crystalline Si2RhBr at its relaxed geometry, computed with GGA-PBEsol.

Unit cell a=4.503 b=4.503 c=4.503 alpha=60.00 beta=60.00 gamma=60.00
Element x y z (fractional)
Br 0.000 0.000 0.000
Rh 0.500 0.500 0.500
Si 0.250 0.250 0.250
Si 0.750 0.750 0.750

Computed properties:
**Crystal system**: cubic
**Size of the total moment**: 0.0 μB/cell
**Uncorrected formation energy**: 0.598 eV/atom

---

[2]
Crystalline LaTa7O19 at its relaxed geometry, computed with GGA-PBEsol.

Unit cell a=6.226 b=6.226 c=20.039 alpha=90.00 beta=90.00 gamma=120.00
Element x y z (fractional)
La 0.000 0.000 0.000
La 0.000 0.000 0.500
Ta 0.972 0.666 0.344
Ta 0.694 0.028 0.344
Ta 0.972 0.666 0.156
Ta 0.694 0.028 0.156
Ta 0.334 0.306 0.156
Ta 0.694 0.666 0.844
Ta 0.334 0.028 0.844
Ta 0.334 0.028 0.656
Ta 0.694 0.666 0.656
Ta 0.972 0.306 0.844
Ta 0.667 0.333 0.500
Ta 0.667 0.333 0.000
Ta 0.972 0.306 0.656
Ta 0.334 0.306 0.344
O 0.388 0.290 0.443
O 0.902 0.290 0.557
O 0.902 0.612 0.443
O 0.710 0.098 0.443
O 0.902 0.612 0.057
O 0.710 0.098 0.057
O 0.388 0.290 0.057
O 0.710 0.612 0.943
O 0.388 0.098 0.943
O 0.388 0.098 0.557
O 0.710 0.612 0.557
O 0.902 0.290 0.943
O 0.958 0.712 0.250
O 0.755 0.042 0.250
O 0.288 0.245 0.250
O 0.288 0.042 0.750
O 0.581 0.915 0.846
O 0.085 0.667 0.654
O 0.333 0.419 0.654
O 0.333 0.419 0.846
O 0.085 0.667 0.846
O 0.333 0.915 0.154
O 0.085 0.419 0.154
O 0.581 0.667 0.154
O 0.085 0.419 0.346
O 0.581 0.667 0.346
O 0.581 0.915 0.654
O 0.333 0.915 0.346
O 0.667 0.333 0.831
O 0.667 0.333 0.669
O 0.667 0.333 0.169
O 0.667 0.333 0.331
O 0.000 0.000 0.869
O 0.000 0.000 0.631
O 0.000 0.000 0.131
O 0.000 0.000 0.369
O 0.958 0.245 0.750
O 0.755 0.712 0.750

Computed properties:
**Crystal system**: hexagonal
**Size of the total moment**: 0.0 μB/cell
**Uncorrected formation energy**: -2.968 eV/atom

---

[3]
Crystalline TiInTeI2 at its relaxed geometry, computed with GGA-PBEsol.

Unit cell a=5.315 b=5.562 c=5.562 alpha=90.00 beta=90.00 gamma=90.00
Last column: magnetic moment on the atom in μB.
Element x y z (fractional)
I 0.000 0.000 0.500  -0.01
I 0.000 0.500 0.000  -0.01
Te 0.500 0.000 0.000  -0.06
Ti 0.000 0.000 0.000  0.90
In 0.500 0.500 0.500  0.00

Computed properties:
**Crystal system**: tetragonal
**Size of the total moment**: 1.0 μB/cell
**Uncorrected formation energy**: -0.333 eV/atom

---

[4]
Crystalline TaZnIr2 at its relaxed geometry, computed with GGA-PBEsol.

Unit cell a=2.894 b=3.532 c=5.738 alpha=90.00 beta=90.00 gamma=90.00
Element x y z (fractional)
Zn 0.500 0.500 0.500
Ir 0.000 0.000 0.742
Ir 0.000 0.000 0.258
Ta 0.500 0.500 0.000

Computed properties:
**ΔH_f (0 K)**: -507 meV per atom
**Crystal system**: orthorhombic
**Size of the total moment**: 0.0 μB/cell

---

Number 1: energy -4.777 eV per atom. Number 2: energy -10.114 eV per atom. Number 3: energy -4.006 eV per atom. Number 4: energy -8.952 eV per atom.